[1]
# Ba2LaPmSe4 PBE optimized geometry
data_Ba2LaPmSe4
_chemical_formula_sum 'Ba2 La1 Pm1 Se4'
_cell_length_a 7.641
_cell_length_b 4.420
_cell_length_c 7.873
_cell_angle_alpha 90.00
_cell_angle_beta 108.92
_cell_angle_gamma 90.00
_symmetry_space_group_name_H-M 'P 1 2/m 1'
_symmetry_Int_Tables_number 10
loop_
_symmetry_equiv_pos_as_xyz
'x,y,z'
'-x,-y,-z'
'-x,y,-z'
'x,-y,z'
loop_
_atom_site_label
_atom_site_type_symbol
_atom_site_fract_x
_atom_site_fract_y
_atom_site_fract_z
_atom_site_occupancy
Ba1 Ba 0.000 0.000 0.000 1
Ba2 Ba 0.500 0.500 0.000 1
La1 La 0.000 0.500 0.500 1
Pm1 Pm 0.500 0.000 0.500 1
Se1 Se 0.246 0.000 0.724 1
Se2 Se 0.263 0.500 0.278 1
# total moment	0.00	μB per formula unit
# electronic total energy	-5.3838	eV/atom
# E_form (uncorrected)	-1951	meV per atom
# theoretical density	5772	kg/m3

[2]
# Ti3ZnCr PBE optimized geometry
data_Ti3ZnCr
_chemical_formula_sum 'Ti3 Zn1 Cr1'
_cell_length_a 4.508
_cell_length_b 4.508
_cell_length_c 4.508
_cell_angle_alpha 90.00
_cell_angle_beta 90.00
_cell_angle_gamma 90.00
_symmetry_space_group_name_H-M 'P m -3 m'
_symmetry_Int_Tables_number 221
_symmetry_space_group_name_Hall '-P 4 2 3'
loop_
_atom_site_label
_atom_site_type_symbol
_atom_site_fract_x
_atom_site_fract_y
_atom_site_fract_z
_atom_site_occupancy
Ti1 Ti 0.000 0.000 0.500 1
Zn1 Zn 0.500 0.500 0.500 1
Cr1 Cr 0.000 0.000 0.000 1
# total moment	0.00	μB per formula unit
# E_form	0.567	eV/atom
# electronic total energy	-6.3494	eV/atom
# offset from the most stable computed form	0.000	eV per atom
# theoretical density	4731	kg/m3

[3]
# CsNaBiCl6 PBE optimized geometry
data_CsNaBiCl6
_chemical_formula_sum 'Cs1 Na1 Bi1 Cl6'
_cell_length_a 7.2311
_cell_length_b 7.2311
_cell_length_c 7.6113
_cell_angle_alpha 90.00
_cell_angle_beta 90.00
_cell_angle_gamma 120.00
_symmetry_space_group_name_H-M 'P 3 1 2'
_symmetry_Int_Tables_number 149
loop_
_symmetry_equiv_pos_as_xyz
'x,y,z'
'-y,x-y,z'
'-x+y,-x,z'
'-y,-x,-z'
'-x+y,y,-z'
'x,x-y,-z'
loop_
_atom_site_label
_atom_site_type_symbol
_atom_site_fract_x
_atom_site_fract_y
_atom_site_fract_z
_atom_site_occupancy
Cs1 Cs 0.0000 0.0000 0.0000 1
Na1 Na 0.3333 0.6667 0.5000 1
Bi1 Bi 0.6667 0.3333 0.5000 1
Cl1 Cl 0.3858 0.0218 0.7016 1
# total moment	0.71	μB per formula unit
# electronic total energy	-3.1692	eV/atom
# E_form (uncorrected)	-1266	meV per atom
# theoretical density	2782	kg/m3

[4]
# Pr6YCd2 PBE optimized geometry
data_Pr6YCd2
_chemical_formula_sum 'Pr24 Y4 Cd8'
_cell_length_a 15.866
_cell_length_b 11.835
_cell_length_c 6.281
_cell_angle_alpha 90.00
_cell_angle_beta 96.03
_cell_angle_gamma 90.00
_symmetry_space_group_name_H-M 'C 1 2/c 1'
_symmetry_Int_Tables_number 15
loop_
_symmetry_equiv_pos_as_xyz
'x,y,z'
'-x,-y,-z'
'-x,y,-z+1/2'
'x,-y,z+1/2'
'x+1/2,y+1/2,z'
'-x+1/2,-y+1/2,-z'
'-x+1/2,y+1/2,-z+1/2'
'x+1/2,-y+1/2,z+1/2'
loop_
_atom_site_label
_atom_site_type_symbol
_atom_site_fract_x
_atom_site_fract_y
_atom_site_fract_z
_atom_site_occupancy
Pr1 Pr 0.057 0.126 0.010 1
Pr2 Pr 0.117 0.349 0.312 1
Pr3 Pr 0.224 0.373 0.836 1
Y1 Y 0.000 0.397 0.750 1
Cd1 Cd 0.164 0.123 0.592 1
# total moment	0.00	μB per formula unit
# E_form	-0.071	eV/atom
# electronic total energy	-4.1787	eV/atom
# offset from the most stable computed form	0.066	eV per atom
# theoretical density	6564	kg/m3